VASP calculation (PBE-GGA) on a relaxed structure of Pm2NdCd2.

The space group is P2_1/m (No. 11) and the conventional cell measures 3.8273, 5.5098 and 14.1881 Å, with angles of 90.00, 97.72 and 90.00 degrees. The distinct sites, in fractional coordinates, are Pm at (0.0455, 0.2500, 0.0914), Pm at (0.2370, 0.2500, 0.4721), Nd at (0.1466, 0.7500, 0.2952), Cd at (0.3588, 0.7500, 0.7181) and Cd at (0.4499, 0.2500, 0.8986).

The calculated volume is 296 Å³/cell. The value obtained for the density of states at the Fermi level is 6.375 states/eV/f.u. The formation energy is -1.270 eV/f.u.